First-principles (PBE) data for a geometry-optimized ErZrTiAl structure, as listed in Alexandria. Values from VASP.

Geometry as Quantum ESPRESSO input:
```
&SYSTEM
  ibrav = 0, nat = 16, ntyp = 4
/
ATOMIC_SPECIES
Er 167.26 Er.upf
Zr 91.22 Zr.upf
Ti 47.87 Ti.upf
Al 26.98 Al.upf
CELL_PARAMETERS angstrom
7.0256 0.0000 0.0000
0.0000 7.0256 0.0000
0.0000 0.0000 7.0256
ATOMIC_POSITIONS crystal
Er 0.0000 0.0000 0.0000
Er 0.0000 0.5000 0.5000
Er 0.5000 0.0000 0.5000
Er 0.5000 0.5000 0.0000
Zr 0.0000 0.0000 0.5000
Zr 0.0000 0.5000 0.0000
Zr 0.5000 0.0000 0.0000
Zr 0.5000 0.5000 0.5000
Ti 0.2500 0.2500 0.7500
Ti 0.2500 0.7500 0.2500
Ti 0.7500 0.2500 0.2500
Ti 0.7500 0.7500 0.7500
Al 0.2500 0.2500 0.2500
Al 0.2500 0.7500 0.7500
Al 0.7500 0.2500 0.7500
Al 0.7500 0.7500 0.2500
```

Energy of formation: -0.085 eV per atom
Calculated volume: 346.78 Å³/cell



First-principles (PBE) data for a geometry-optimized Er6Al2Tl structure, as listed in Alexandria. Values from VASP.

Geometry as Quantum ESPRESSO input:
```
&SYSTEM
  ibrav = 0, nat = 9, ntyp = 3
/
ATOMIC_SPECIES
Er 167.26 Er.upf
Al 26.98 Al.upf
Tl 204.38 Tl.upf
CELL_PARAMETERS angstrom
-2.5227 3.5757 7.5749
2.5227 -3.5757 7.5749
2.5227 3.5757 -7.5749
ATOMIC_POSITIONS crystal
Er 0.0762 0.3303 0.7459
Er 0.2421 0.0000 0.2421
Er 0.4157 0.6697 0.7459
Er 0.5843 0.3303 0.2541
Er 0.7579 0.0000 0.7579
Er 0.9238 0.6697 0.2541
Al 0.1669 0.1669 0.0000
Al 0.8331 0.8331 0.0000
Tl 0.5000 0.5000 0.0000
```

Energy of formation: -0.029 eV per atom
Calculated volume: 273.31 Å³/cell



First-principles (PBE) data for a geometry-optimized Er2AlTl structure, as listed in Alexandria. Values from VASP.

Geometry as Quantum ESPRESSO input:
```
&SYSTEM
  ibrav = 0, nat = 4, ntyp = 3
/
ATOMIC_SPECIES
Er 167.26 Er.upf
Al 26.98 Al.upf
Tl 204.38 Tl.upf
CELL_PARAMETERS angstrom
3.5823 0.0000 0.0000
0.0000 3.5823 0.0000
0.0000 0.0000 7.7609
ATOMIC_POSITIONS crystal
Er 0.0000 0.0000 0.2344
Er 0.0000 0.0000 0.7656
Al 0.5000 0.5000 0.0000
Tl 0.5000 0.5000 0.5000
```

Energy of formation: -0.345 eV per atom
Calculated volume: 99.59 Å³/cell



Which of these has the highest calculated volume?
ErZrTiAl